No. 1
NiTe | GGA-PBE | relaxed

DFT total energy: -37.05 eV per cell
Symmetry: I4/m, No. 87
Theoretical density: 7.59 g cm⁻³

Geometry as POSCAR:
```
NiTe
1.0
-3.287 0.834 -1.784
1.015 -1.300 -6.594
-3.684 -5.712 0.002
Ni Te
4 4
direct
0.418 0.266 0.898
0.582 0.734 0.102
0.684 0.898 0.734
0.316 0.102 0.266
0.252 0.658 0.837
0.748 0.342 0.163
0.911 0.837 0.342
0.089 0.163 0.658
```



No. 2
NiTe3 | GGA-PBE | relaxed

DFT total energy: -15.00 eV per cell
Symmetry: P-6m2, No. 187
Theoretical density: 7.11 g cm⁻³

Geometry as POSCAR:
```
NiTe3
1.0
3.593 0.000 0.000
-1.797 3.112 0.000
0.000 0.000 9.222
Ni Te
1 3
direct
0.000 0.000 0.000
0.000 0.000 0.500
0.667 0.333 0.166
0.667 0.333 0.834
```



No. 3
NiTe3 | GGA-PBE | relaxed

DFT total energy: -13.76 eV per cell
Symmetry: Pm-3m, No. 221
Theoretical density: 5.48 g cm⁻³

Geometry as POSCAR:
```
NiTe3
1.0
-2.009 3.885 2.649
-4.256 -0.278 -2.820
-1.998 -3.313 3.343
Ni Te
1 3
direct
0.000 0.000 0.000
0.500 0.000 0.000
0.000 0.500 0.000
0.000 0.000 0.500
```



No. 4
NiTe | GGA-PBE | relaxed

DFT total energy: -55.21 eV per cell
Symmetry: P6_3/m, No. 176
Theoretical density: 5.87 g cm⁻³

Geometry as POSCAR:
```
NiTe
1.0
-6.275 6.759 2.408
2.878 -6.361 6.489
3.020 2.432 1.044
Ni Te
6 6
direct
0.605 0.033 0.250
0.572 0.605 0.750
0.967 0.572 0.250
0.395 0.967 0.750
0.428 0.395 0.250
0.033 0.428 0.750
0.875 0.280 0.250
0.595 0.875 0.750
0.720 0.595 0.250
0.125 0.720 0.750
0.405 0.125 0.250
0.280 0.405 0.750
```



No. 5
NiTe2 | GGA-PBE | relaxed

DFT total energy: -11.69 eV per cell
Symmetry: Fm-3m, No. 225
Theoretical density: 7.39 g cm⁻³

Geometry as POSCAR:
```
NiTe2
1.0
4.638 0.000 0.000
2.319 4.017 0.000
2.319 1.339 3.787
Ni Te
1 2
direct
0.000 0.000 0.000
0.250 0.250 0.250
0.750 0.750 0.750
```



No. 6
NiTe3 | GGA-PBE | relaxed

DFT total energy: -59.53 eV per cell
Symmetry: Pnma, No. 62
Theoretical density: 7.40 g cm⁻³

Geometry as POSCAR:
```
NiTe3
1.0
-2.679 -4.970 3.198
5.125 -3.459 -1.082
3.925 3.222 8.295
Ni Te
4 12
direct
0.547 0.875 0.750
0.047 0.625 0.250
0.953 0.375 0.750
0.453 0.125 0.250
0.166 0.007 0.750
0.666 0.493 0.250
0.334 0.507 0.750
0.834 0.993 0.250
0.680 0.197 0.908
0.180 0.303 0.092
0.820 0.697 0.592
0.320 0.803 0.408
0.320 0.803 0.092
0.820 0.697 0.908
0.180 0.303 0.408
0.680 0.197 0.592
```



No. 7
Ni3Te | GGA-PBE | relaxed

DFT total energy: -16.07 eV per cell
Symmetry: Pm-3m, No. 221
Theoretical density: 4.65 g cm⁻³

Geometry as POSCAR:
```
Ni3Te
1.0
4.767 0.000 0.000
0.000 4.767 0.000
0.000 0.000 4.767
Ni Te
3 1
direct
0.500 0.000 0.000
0.000 0.500 0.000
0.000 0.000 0.500
0.000 0.000 0.000
```



No. 8
NiTe | GGA-PBE | relaxed

DFT total energy: -18.52 eV per cell
Symmetry: P-3m1, No. 164
Theoretical density: 6.62 g cm⁻³

Geometry as POSCAR:
```
NiTe
1.0
3.859 0.000 0.000
-1.930 3.342 0.000
0.000 0.000 7.241
Ni Te
2 2
direct
0.000 0.000 0.029
0.667 0.333 0.221
0.000 0.000 0.379
0.667 0.333 0.871
```



| no. | Fermi-level density of states (states/eV/f.u.) |
| --- | --- |
| 1 | 1.5 |
| 2 | 3.2 |
| 3 | 4.8 |
| 4 | 1.0 |
| 5 | 3.1 |
| 6 | 2.5 |
| 7 | 10.1 |
| 8 | 1.8 |